Below is a geometry-optimized LiAc2ZnCu6 structure, with properties calculated at the GGA-PBE level.

The structure in extended XYZ format:
```
10
Lattice="6.636 -0.215 1.188 -0.203 6.550 -1.105 4.029 2.368 4.863" Properties=species:S:1:pos:R:3 pbc="T T T"
Ac 3.763 5.852 2.205
Cu 8.099 7.848 3.873
Cu 7.003 6.105 2.488
Ac 6.699 2.851 2.741
Cu 5.699 7.394 4.319
Cu 3.460 2.599 2.459
Cu 2.363 0.855 1.073
Zn 0.000 0.000 0.000
Cu 4.764 1.309 0.627
Li 3.217 3.168 0.042
```

Output
* E_form: -83 meV/atom
* E_tot: -36.81 eV per cell
* space-group type: No. 2
* total magnetization: 0.00 Bohr magnetons per cell